(1)
# LiCuW2 PBE-GGA optimized geometry
# spin magnetization	0.00	μB per cell
# formation energy from the elements	0.4746	eV/atom
# D(E_F)	0.687	states/eV/atom
data_LiCuW2
_space_group_name_H-M_alt 'P 1'
_space_group_IT_number 1
_cell_length_a 4.9345
_cell_length_b 4.9345
_cell_length_c 4.9345
_cell_angle_alpha 136.13
_cell_angle_beta 136.13
_cell_angle_gamma 63.78
loop_
_space_group_symop_operation_xyz
'x,y,z'
loop_
_atom_site_label
_atom_site_type_symbol
_atom_site_fract_x
_atom_site_fract_y
_atom_site_fract_z
W1 W 0.0000 0.0000 0.0000
W2 W 0.5000 0.5000 0.0000
Li1 Li 0.7500 0.2500 0.5000
Cu1 Cu 0.2500 0.7500 0.5000

(2)
# Li2Zn5Ru2 PBE-GGA optimized geometry
# spin magnetization	0.00	μB per cell
# formation energy from the elements	-0.0789	eV/atom
# D(E_F)	0.646	states/eV/atom
data_Li2Zn5Ru2
_space_group_name_H-M_alt 'P 1'
_space_group_IT_number 1
_cell_length_a 4.2735
_cell_length_b 4.2662
_cell_length_c 8.9890
_cell_angle_alpha 61.59
_cell_angle_beta 76.34
_cell_angle_gamma 60.00
loop_
_space_group_symop_operation_xyz
'x,y,z'
loop_
_atom_site_label
_atom_site_type_symbol
_atom_site_fract_x
_atom_site_fract_y
_atom_site_fract_z
Ru1 Ru 0.6677 0.5576 0.1085
Ru2 Ru 0.3323 0.4424 0.8915
Zn1 Zn 0.3330 0.1114 0.2226
Zn2 Zn 0.9998 0.6724 0.3281
Zn3 Zn 0.0000 0.0000 0.0000
Zn4 Zn 0.0002 0.3276 0.6719
Zn5 Zn 0.6670 0.8886 0.7774
Li1 Li 0.6668 0.2249 0.4417
Li2 Li 0.3332 0.7751 0.5583

(3)
# AlNiMo PBE-GGA optimized geometry
# spin magnetization	0.00	μB per cell
# formation energy from the elements	-0.2765	eV/atom
# D(E_F)	0.498	states/eV/atom
data_AlNiMo
_space_group_name_H-M_alt 'P 1'
_space_group_IT_number 1
_cell_length_a 4.5811
_cell_length_b 4.6857
_cell_length_c 9.2262
_cell_angle_alpha 83.03
_cell_angle_beta 75.63
_cell_angle_gamma 60.74
loop_
_space_group_symop_operation_xyz
'x,y,z'
loop_
_atom_site_label
_atom_site_type_symbol
_atom_site_fract_x
_atom_site_fract_y
_atom_site_fract_z
Ni1 Ni 0.8754 0.0000 0.2491
Ni2 Ni 0.8746 0.5000 0.2509
Ni3 Ni 0.1246 0.0000 0.7509
Ni4 Ni 0.6254 0.5000 0.7491
Mo1 Mo 0.9178 0.1643 0.5000
Mo2 Mo 0.1678 0.6643 0.0000
Mo3 Mo 0.5822 0.8357 0.5000
Mo4 Mo 0.8322 0.3357 0.0000
Al1 Al 0.3278 0.5000 0.3444
Al2 Al 0.4222 0.0000 0.1556
Al3 Al 0.1722 0.5000 0.6556
Al4 Al 0.5778 0.0000 0.8444

(4)
# BeV2Cl PBE-GGA optimized geometry
# spin magnetization	4.91	μB per cell
# D(E_F)	1.213	states/eV/atom
# uncorrected formation energy	0.86	eV per atom
data_BeV2Cl
_space_group_name_H-M_alt 'P 1'
_space_group_IT_number 1
_cell_length_a 4.8535
_cell_length_b 4.8535
_cell_length_c 6.7162
_cell_angle_alpha 68.82
_cell_angle_beta 68.82
_cell_angle_gamma 90.00
loop_
_space_group_symop_operation_xyz
'x,y,z'
loop_
_atom_site_label
_atom_site_type_symbol
_atom_site_fract_x
_atom_site_fract_y
_atom_site_fract_z
V1 V 0.8750 0.8464 0.7500
V2 V 0.5964 0.1250 0.2500
V3 V 0.3750 0.4036 0.7500
V4 V 0.1536 0.6250 0.2500
Cl1 Cl 0.7500 0.2500 0.5000
Cl2 Cl 0.0000 0.0000 0.0000
Be1 Be 0.5000 0.5000 0.0000
Be2 Be 0.2500 0.7500 0.5000